1.
DFT (PBE) results for a relaxed structure of Te2MoI.

CIF file:
```
data_Te2MoI
_chemical_formula_sum 'Te4 Mo2 I2'
_space_group_name_H-M_alt 'P 1 21 1'
_space_group_IT_number 4
_cell_length_a 6.4594
_cell_length_b 3.3321
_cell_length_c 11.6526
_cell_angle_alpha 90.00
_cell_angle_beta 90.01
_cell_angle_gamma 90.00
loop_
_space_group_symop_operation_xyz
'x,y,z'
'-x,y+1/2,-z'
loop_
_atom_site_label
_atom_site_type_symbol
_atom_site_fract_x
_atom_site_fract_y
_atom_site_fract_z
Te1 Te 0.0671 0.0000 0.3691
Te2 Te 0.4263 0.0000 0.6799
Mo1 Mo 0.3181 0.5000 0.5079
I1 I 0.2485 0.5021 0.0005
```

**Density of states at the Fermi level**: 4.2 states/eV per cell
**Energy above the lowest structure with this stoichiometry**: 0 meV per atom



2.
DFT (PBE) results for a relaxed structure of TeMo2I.

CIF file:
```
data_TeMo2I
_chemical_formula_sum 'Te4 Mo8 I4'
_space_group_name_H-M_alt 'I -4 2 d'
_space_group_IT_number 122
_space_group_name_Hall 'I -4 2bw'
_cell_length_a 6.1492
_cell_length_b 6.1492
_cell_length_c 11.9949
_cell_angle_alpha 90.00
_cell_angle_beta 90.00
_cell_angle_gamma 90.00
loop_
_atom_site_label
_atom_site_type_symbol
_atom_site_fract_x
_atom_site_fract_y
_atom_site_fract_z
Te1 Te 0.0000 0.0000 0.0000
Mo1 Mo 0.2503 0.2500 0.1250
I1 I 0.0000 0.0000 0.5000
```

**Density of states at the Fermi level**: 21.3 states/eV per cell
**Energy above the lowest structure with this stoichiometry**: 435 meV per atom



3.
DFT (PBE) results for a relaxed structure of Te6MoI3.

CIF file:
```
data_Te6MoI3
_chemical_formula_sum 'Te48 Mo8 I24'
_space_group_name_H-M_alt 'P 1 21/c 1'
_space_group_IT_number 14
_cell_length_a 12.2146
_cell_length_b 16.8079
_cell_length_c 17.8425
_cell_angle_alpha 90.00
_cell_angle_beta 115.05
_cell_angle_gamma 90.00
loop_
_space_group_symop_operation_xyz
'x,y,z'
'-x,-y,-z'
'-x,y+1/2,-z+1/2'
'x,-y+1/2,z+1/2'
loop_
_atom_site_label
_atom_site_type_symbol
_atom_site_fract_x
_atom_site_fract_y
_atom_site_fract_z
Te1 Te 0.0217 0.1036 0.3629
Te2 Te 0.0584 0.0088 0.8602
Te3 Te 0.0592 0.5494 0.8120
Te4 Te 0.1225 0.6386 0.3133
Te5 Te 0.1313 0.1746 0.1170
Te6 Te 0.1838 0.2483 0.7668
Te7 Te 0.2989 0.5031 0.7301
Te8 Te 0.3523 0.0741 0.3804
Te9 Te 0.3946 0.6082 0.1919
Te10 Te 0.4276 0.2008 0.6881
Te11 Te 0.4569 0.7471 0.6378
Te12 Te 0.4646 0.1467 0.1369
Mo1 Mo 0.1279 0.0912 0.2497
Mo2 Mo 0.3558 0.1574 0.2481
I1 I 0.1263 0.6990 0.7208
I2 I 0.1808 0.5641 0.5400
I3 I 0.1947 0.0499 0.5302
I4 I 0.2694 0.1990 0.9593
I5 I 0.3606 0.6766 0.9704
I6 I 0.3800 0.0534 0.7876
```

**Energy**: -0.265 Ry/atom



4.
DFT (PBE) results for a relaxed structure of TeMoI.

CIF file:
```
data_TeMoI
_chemical_formula_sum 'Te2 Mo2 I2'
_space_group_name_H-M_alt 'P -1'
_space_group_IT_number 2
_cell_length_a 3.5671
_cell_length_b 3.5672
_cell_length_c 15.5894
_cell_angle_alpha 83.49
_cell_angle_beta 83.58
_cell_angle_gamma 60.00
loop_
_space_group_symop_operation_xyz
'x,y,z'
'-x,-y,-z'
loop_
_atom_site_label
_atom_site_type_symbol
_atom_site_fract_x
_atom_site_fract_y
_atom_site_fract_z
Te1 Te 0.1270 0.1247 0.1245
Mo1 Mo 0.2436 0.2477 0.7593
I1 I 0.3816 0.3755 0.3700
```

**Density of states at the Fermi level**: 5.7 states/eV per cell
**Energy**: -0.372 Ry/atom